This record from Alexandria describes a relaxed structure of Na2B3C. The functional is PBE-GGA.

Output
Formation energy from the elements, meV/atom: 165
N(E_F), states/eV per cell: 2.91
Raw total energy, eV/atom: -5.151
ΔE to the lowest computed polymorph, meV per atom: 31

a = 8.001 Å, b = 7.641 Å, c = 9.186 Å
α = 107.81°, β = 107.86°, γ = 36.46°
Fractional coordinates of all 30 atoms:
B (0.912, 0.580, 0.249)
Na (0.297, 0.306, 0.513)
B (0.393, 0.105, 0.749)
B (0.301, 0.610, 0.752)
B (0.910, 0.199, 0.749)
Na (0.007, 0.997, 0.002)
B (0.019, 0.708, 0.753)
B (0.669, 0.006, 0.751)
B (0.657, 0.253, 0.751)
B (0.529, 0.969, 0.249)
B (0.570, 0.163, 0.251)
C (0.380, 0.718, 0.251)
Na (0.509, 0.496, 0.507)
B (0.477, 0.811, 0.748)
Na (0.798, 0.799, 0.999)
B (0.142, 0.772, 0.251)
B (0.203, 0.472, 0.250)
Na (0.690, 0.708, 0.497)
Na (0.598, 0.603, 0.997)
Na (0.911, 0.892, 0.500)
C (0.237, 0.870, 0.749)
C (0.807, 0.101, 0.252)
C (0.953, 0.334, 0.249)
B (0.283, 0.005, 0.250)
Na (0.404, 0.395, 0.994)
B (0.037, 0.443, 0.748)
C (0.809, 0.488, 0.747)
B (0.713, 0.389, 0.251)
Na (0.098, 0.102, 0.503)
Na (0.188, 0.203, 0.988)